[1]
# Pm6Dy2ErTh PBE optimized geometry
# Formation enthalpy at 0 K, eV per atom: 0.146
data_Pm6Dy2ErTh
_symmetry_space_group_name_H-M 'C 1 2/c 1'
_symmetry_Int_Tables_number 15
_cell_length_a 9.319
_cell_length_b 15.017
_cell_length_c 9.683
_cell_angle_alpha 90.00
_cell_angle_beta 97.52
_cell_angle_gamma 90.00
loop_
_symmetry_equiv_pos_as_xyz
'x,y,z'
'-x,-y,-z'
'-x,y,-z+1/2'
'x,-y,z+1/2'
'x+1/2,y+1/2,z'
'-x+1/2,-y+1/2,-z'
'-x+1/2,y+1/2,-z+1/2'
'x+1/2,-y+1/2,z+1/2'
loop_
_atom_site_label
_atom_site_fract_x
_atom_site_fract_y
_atom_site_fract_z
Pm1 0.064 0.176 0.443
Pm2 0.095 0.391 0.618
Pm3 0.208 0.218 0.812
Dy1 0.247 0.046 0.050
Er1 0.000 0.409 0.250
Th1 0.000 0.029 0.750


[2]
# Cd3Ga2Ag PBE optimized geometry
# Formation enthalpy at 0 K, eV per atom: 0.048
data_Cd3Ga2Ag
_symmetry_space_group_name_H-M 'P m m n'
_symmetry_Int_Tables_number 59
_cell_length_a 4.456
_cell_length_b 12.924
_cell_length_c 4.256
_cell_angle_alpha 90.00
_cell_angle_beta 90.00
_cell_angle_gamma 90.00
loop_
_symmetry_equiv_pos_as_xyz
'x,y,z'
'-x,-y,-z'
'-x+1/2,-y+1/2,z'
'x+1/2,y+1/2,-z'
'x+1/2,-y,-z'
'-x+1/2,y,z'
'-x,y+1/2,-z'
'x,-y+1/2,z'
loop_
_atom_site_label
_atom_site_fract_x
_atom_site_fract_y
_atom_site_fract_z
Cd1 0.250 0.084 0.003
Cd2 0.250 0.750 0.996
Ga1 0.250 0.584 0.498
Ag1 0.250 0.250 0.505


[3]
# TaNb2Ru PBE optimized geometry
# ΔE to the lowest computed polymorph, meV/atom: 37
# Formation enthalpy at 0 K, eV per atom: -0.172
data_TaNb2Ru
_symmetry_space_group_name_H-M 'F m -3 m'
_symmetry_Int_Tables_number 225
_symmetry_space_group_name_Hall '-F 4 2 3'
_cell_length_a 6.474
_cell_length_b 6.474
_cell_length_c 6.474
_cell_angle_alpha 90.00
_cell_angle_beta 90.00
_cell_angle_gamma 90.00
loop_
_atom_site_label
_atom_site_fract_x
_atom_site_fract_y
_atom_site_fract_z
Ta1 0.000 0.000 0.000
Nb1 0.250 0.250 0.250
Ru1 0.000 0.000 0.500


[4]
# SmTlAu4 PBE optimized geometry
# Formation enthalpy at 0 K, eV per atom: -0.392
data_SmTlAu4
_symmetry_space_group_name_H-M 'F -4 3 m'
_symmetry_Int_Tables_number 216
_symmetry_space_group_name_Hall 'F -4 2 3'
_cell_length_a 8.032
_cell_length_b 8.032
_cell_length_c 8.032
_cell_angle_alpha 90.00
_cell_angle_beta 90.00
_cell_angle_gamma 90.00
loop_
_atom_site_label
_atom_site_fract_x
_atom_site_fract_y
_atom_site_fract_z
Sm1 0.000 0.000 0.000
Tl1 0.250 0.250 0.750
Au1 0.125 0.125 0.375


[5]
# AcTbNdPb PBE optimized geometry
# Formation enthalpy at 0 K, eV per atom: -0.096
data_AcTbNdPb
_symmetry_space_group_name_H-M 'F -4 3 m'
_symmetry_Int_Tables_number 216
_symmetry_space_group_name_Hall 'F -4 2 3'
_cell_length_a 8.036
_cell_length_b 8.036
_cell_length_c 8.036
_cell_angle_alpha 90.00
_cell_angle_beta 90.00
_cell_angle_gamma 90.00
loop_
_atom_site_label
_atom_site_fract_x
_atom_site_fract_y
_atom_site_fract_z
Ac1 0.000 0.000 0.000
Tb1 0.250 0.250 0.250
Nd1 0.250 0.250 0.750
Pb1 0.000 0.000 0.500


[6]
# BeHgCl PBE optimized geometry
# ΔE to the lowest computed polymorph, meV/atom: 857
# E_form (uncorrected), eV/atom: 0.6708
data_BeHgCl
_symmetry_space_group_name_H-M 'F -4 3 m'
_symmetry_Int_Tables_number 216
_symmetry_space_group_name_Hall 'F -4 2 3'
_cell_length_a 6.697
_cell_length_b 6.697
_cell_length_c 6.697
_cell_angle_alpha 90.00
_cell_angle_beta 90.00
_cell_angle_gamma 90.00
loop_
_atom_site_label
_atom_site_fract_x
_atom_site_fract_y
_atom_site_fract_z
Be1 0.000 0.000 0.000
Hg1 0.250 0.250 0.750
Cl1 0.000 0.000 0.500